A plane-wave DFT calculation with GGA-PBE was carried out for crystalline CsPrNO at its relaxed geometry.

Values from the calculation:
The calculation puts the energy above the most stable polymorph in this dataset at 0.318 eV/atom.

```
CsPrNO
1.0
5.7067 0.0000 0.0000
0.0000 5.7067 0.0000
0.0000 0.0000 4.9053
Cs N O Pr
2 2 2 2
direct
0.2500 0.2500 0.0003
0.7500 0.7500 0.9997
0.7500 0.7500 0.5002
0.2500 0.2500 0.4998
0.7500 0.2500 0.0000
0.2500 0.7500 0.0000
0.7500 0.2500 0.5000
0.2500 0.7500 0.5000
```